Computed, not measured: a relaxed SrSbCl crystal at the GGA-PBE level of DFT.

The density of states at the Fermi level is 0.70 states/eV/f.u. As for the crystal system: tetragonal. As for the total energy: -4.10 eV/atom. The calculation puts the magnetization at 0.0 μB per formula unit. The calculation puts the formation energy (no corrections) at -1.553 eV/atom.

The structure belongs to space group P4/nmm (No. 129, origin choice 2); the cell edges are 4.338, 4.338 and 9.313 Å and the angles 90.00°, 90.00° and 90.00°. The distinct sites, in fractional coordinates, are Sr at (0.250, 0.250, 0.212), Sb at (0.250, 0.750, 0.500) and Cl at (0.250, 0.250, 0.885).